Record 1
Below is crystalline ZnTePbO at its relaxed geometry, with properties calculated at the GGA-PBE level.

POSCAR file:
```
ZnTePbO
1.0
-0.591 3.557 -2.178
-4.071 -0.015 1.080
2.002 4.994 7.612
O Zn Pb Te
2 2 2 2
direct
0.750 0.250 0.500
0.250 0.750 0.500
0.250 0.250 0.443
0.750 0.750 0.557
0.250 0.250 0.766
0.750 0.750 0.234
0.750 0.750 0.864
0.250 0.250 0.136
```

Energy above the lowest structure with this stoichiometry in meV per atom: 167
Electronic total energy in eV/atom: -3.882

---

Record 2
Below is crystalline ZnTePbO at its relaxed geometry, with properties calculated at the GGA-PBE level.

POSCAR file:
```
ZnTePbO
1.0
1.867 1.078 14.125
-1.867 1.078 14.125
0.000 -2.156 14.125
O Pb Te Zn
2 2 2 2
direct
0.309 0.309 0.309
0.691 0.691 0.691
0.799 0.799 0.799
0.201 0.201 0.201
0.916 0.916 0.916
0.084 0.084 0.084
0.643 0.643 0.643
0.357 0.357 0.357
```

Energy above the lowest structure with this stoichiometry in meV per atom: 294
Electronic total energy in eV/atom: -3.755

---

Record 3
Below is crystalline ZnTePbO at its relaxed geometry, with properties calculated at the GGA-PBE level.

POSCAR file:
```
ZnTePbO
1.0
6.365 0.000 0.000
0.000 4.189 0.000
0.000 0.000 14.083
Pb Te O Zn
4 4 4 4
direct
0.243 0.500 0.912
0.743 0.500 0.588
0.257 0.000 0.412
0.757 0.000 0.088
0.754 0.000 0.397
0.246 0.500 0.603
0.746 0.500 0.897
0.254 0.000 0.103
0.201 0.000 0.816
0.799 0.500 0.184
0.299 0.500 0.316
0.701 0.000 0.684
0.106 0.500 0.208
0.394 0.000 0.708
0.606 0.500 0.292
0.894 0.000 0.792
```

Energy above the lowest structure with this stoichiometry in meV per atom: 0
Electronic total energy in eV/atom: -4.049

---

Record 4
Below is crystalline ZnTePbO at its relaxed geometry, with properties calculated at the GGA-PBE level.

POSCAR file:
```
ZnTePbO
1.0
-3.071 -2.290 -4.654
6.204 0.444 -4.312
2.332 -8.232 2.518
O Zn Pb Te
4 4 4 4
direct
0.022 0.615 0.750
0.478 0.115 0.256
0.522 0.376 0.756
0.978 0.877 0.250
0.246 0.460 0.839
0.744 0.533 0.668
0.756 0.033 0.339
0.254 0.960 0.168
0.673 0.118 0.791
0.332 0.375 0.292
0.827 0.618 0.215
0.168 0.874 0.715
0.034 0.241 0.015
0.535 0.757 0.495
0.965 0.257 0.511
0.466 0.740 0.991
```

Energy above the lowest structure with this stoichiometry in meV per atom: 92
Electronic total energy in eV/atom: -3.957

---

Record 5
Below is crystalline ZnTePbO at its relaxed geometry, with properties calculated at the GGA-PBE level.

POSCAR file:
```
ZnTePbO
1.0
-2.330 7.425 -1.225
-5.824 -2.050 -1.346
-1.879 0.601 7.212
Zn Pb Te O
4 4 4 4
direct
0.410 0.922 0.314
0.910 0.578 0.686
0.590 0.422 0.186
0.090 0.078 0.814
0.677 0.918 0.957
0.823 0.082 0.457
0.323 0.418 0.543
0.177 0.582 0.043
0.133 0.111 0.174
0.867 0.611 0.326
0.633 0.389 0.826
0.367 0.889 0.674
0.406 0.623 0.237
0.594 0.123 0.263
0.906 0.877 0.763
0.094 0.377 0.737
```

Energy above the lowest structure with this stoichiometry in meV per atom: 16
Electronic total energy in eV/atom: -4.033

---

Record 6
Below is crystalline Tm2PbO4 at its relaxed geometry, with properties calculated at the GGA-PBE level.

POSCAR file:
```
Tm2PbO4
1.0
-0.561 6.807 -0.196
-4.414 -3.892 -3.472
-0.237 0.176 6.826
Tm Pb O
4 2 8
direct
0.375 0.750 0.625
0.375 0.750 0.125
0.375 0.250 0.625
0.875 0.250 0.625
0.000 0.000 0.000
0.750 0.500 0.250
0.144 0.713 0.856
0.144 0.287 0.431
0.569 0.713 0.856
0.606 0.787 0.394
0.181 0.787 0.394
0.606 0.213 0.394
0.144 0.287 0.856
0.606 0.213 0.819
```

Electronic total energy in eV/atom: -7.510
Magnetic moment in μB per atom: 0.000

---

Record 7
Below is crystalline Tm2Pb2O5 at its relaxed geometry, with properties calculated at the GGA-PBE level.

POSCAR file:
```
Tm2Pb2O5
1.0
8.153 0.000 0.000
0.000 4.270 0.000
0.000 0.000 4.270
Tm Pb O
2 2 5
direct
0.754 0.500 0.500
0.246 0.500 0.500
0.500 0.000 0.000
0.000 0.000 0.000
0.200 0.500 0.000
0.800 0.000 0.500
0.800 0.500 0.000
0.500 0.500 0.500
0.200 0.000 0.500
```

Energy above the lowest structure with this stoichiometry in meV per atom: 0
Electronic total energy in eV/atom: -6.811
Magnetic moment in μB per atom: 0.000

---

Record 8
Below is crystalline Tm2Pb2O5 at its relaxed geometry, with properties calculated at the GGA-PBE level.

POSCAR file:
```
Tm2Pb2O5
1.0
-0.525 -6.325 -3.068
0.832 -1.970 3.919
-4.373 -0.070 0.893
Pb O Tm
2 5 2
direct
0.795 0.500 0.500
0.205 0.500 0.500
0.500 0.500 0.500
0.776 0.500 0.000
0.224 0.000 0.500
0.224 0.500 0.000
0.776 0.000 0.500
0.500 0.000 0.000
0.000 0.000 0.000
```

Energy above the lowest structure with this stoichiometry in meV per atom: 966
Electronic total energy in eV/atom: -5.845
Magnetic moment in μB per atom: 0.040

---

Record 9
Below is crystalline Zn3Pb5O12 at its relaxed geometry, with properties calculated at the GGA-PBE level.

POSCAR file:
```
Zn3Pb5O12
1.0
-4.025 4.025 4.025
4.025 -4.025 4.025
4.025 4.025 -4.025
O Pb Zn
12 5 3
direct
0.170 0.485 0.315
0.685 0.170 0.856
0.170 0.856 0.685
0.485 0.315 0.170
0.315 0.830 0.144
0.830 0.515 0.685
0.315 0.170 0.485
0.685 0.830 0.515
0.830 0.144 0.315
0.515 0.685 0.830
0.144 0.315 0.830
0.856 0.685 0.170
0.500 0.000 0.000
0.500 0.500 0.500
0.000 0.500 0.000
0.000 0.000 0.000
0.000 0.000 0.500
0.500 0.000 0.500
0.500 0.500 0.000
0.000 0.500 0.500
```

Electronic total energy in eV/atom: -5.038

---

Record 10
Below is crystalline ZnPbO3 at its relaxed geometry, with properties calculated at the GGA-PBE level.

POSCAR file:
```
ZnPbO3
1.0
-2.872 1.340 -2.363
-0.557 -3.657 -1.396
-3.180 -0.815 3.403
Pb O Zn
1 3 1
direct
0.500 0.500 0.519
0.500 0.500 0.097
0.500 0.000 0.709
0.000 0.500 0.709
0.000 0.000 0.865
```

Electronic total energy in eV/atom: -4.630

---

Record 11
Below is crystalline ZnPbO3 at its relaxed geometry, with properties calculated at the GGA-PBE level.

POSCAR file:
```
ZnPbO3
1.0
-3.558 -0.717 0.446
0.729 -1.634 3.189
-0.571 4.274 2.320
Pb O Zn
1 3 1
direct
0.000 0.000 0.944
0.500 0.500 0.119
0.500 0.000 0.663
0.000 0.500 0.663
0.500 0.500 0.511
```

Electronic total energy in eV/atom: -4.711

---

Record 12
Below is crystalline ZnPbO3 at its relaxed geometry, with properties calculated at the GGA-PBE level.

POSCAR file:
```
ZnPbO3
1.0
5.499 0.000 0.000
0.000 5.517 0.000
0.000 0.000 8.061
Pb O Zn
4 12 4
direct
0.000 0.500 0.000
0.000 0.500 0.500
0.500 0.000 0.500
0.500 0.000 0.000
0.158 0.162 0.577
0.658 0.338 0.077
0.658 0.338 0.423
0.137 0.377 0.250
0.863 0.623 0.750
0.342 0.662 0.923
0.342 0.662 0.577
0.842 0.838 0.423
0.842 0.838 0.077
0.637 0.123 0.750
0.158 0.162 0.923
0.363 0.877 0.250
0.482 0.525 0.250
0.518 0.475 0.750
0.018 0.025 0.250
0.982 0.975 0.750
```

Electronic total energy in eV/atom: -4.960

---

Please write out number 3 again, unchanged.
Below is crystalline ZnTePbO at its relaxed geometry, with properties calculated at the GGA-PBE level.

POSCAR file:
```
ZnTePbO
1.0
6.365 0.000 0.000
0.000 4.189 0.000
0.000 0.000 14.083
Pb Te O Zn
4 4 4 4
direct
0.243 0.500 0.912
0.743 0.500 0.588
0.257 0.000 0.412
0.757 0.000 0.088
0.754 0.000 0.397
0.246 0.500 0.603
0.746 0.500 0.897
0.254 0.000 0.103
0.201 0.000 0.816
0.799 0.500 0.184
0.299 0.500 0.316
0.701 0.000 0.684
0.106 0.500 0.208
0.394 0.000 0.708
0.606 0.500 0.292
0.894 0.000 0.792
```

Energy above the lowest structure with this stoichiometry in meV per atom: 0
Electronic total energy in eV/atom: -4.049

---

Question: The highest electronic total energy belongs to which entry?
Answer: number 2

---

Please write out number 5 again, unchanged.
Below is crystalline ZnTePbO at its relaxed geometry, with properties calculated at the GGA-PBE level.

POSCAR file:
```
ZnTePbO
1.0
-2.330 7.425 -1.225
-5.824 -2.050 -1.346
-1.879 0.601 7.212
Zn Pb Te O
4 4 4 4
direct
0.410 0.922 0.314
0.910 0.578 0.686
0.590 0.422 0.186
0.090 0.078 0.814
0.677 0.918 0.957
0.823 0.082 0.457
0.323 0.418 0.543
0.177 0.582 0.043
0.133 0.111 0.174
0.867 0.611 0.326
0.633 0.389 0.826
0.367 0.889 0.674
0.406 0.623 0.237
0.594 0.123 0.263
0.906 0.877 0.763
0.094 0.377 0.737
```

Energy above the lowest structure with this stoichiometry in meV per atom: 16
Electronic total energy in eV/atom: -4.033